# Dy6ZnPd5 (PBE, relaxed)
data_Dy6ZnPd5
_chemical_formula_sum 'Dy6 Zn1 Pd5'
_cell_length_a 4.974
_cell_length_b 7.037
_cell_length_c 7.854
_cell_angle_alpha 90.00
_cell_angle_beta 108.31
_cell_angle_gamma 90.00
_symmetry_space_group_name_H-M 'P 1'
_symmetry_Int_Tables_number 1
loop_
_symmetry_equiv_pos_as_xyz
'x,y,z'
loop_
_atom_site_label
_atom_site_type_symbol
_atom_site_fract_x
_atom_site_fract_y
_atom_site_fract_z
Dy1 Dy 0.168 0.251 0.336
Dy2 Dy 0.168 0.749 0.336
Zn1 Zn 0.000 0.000 0.000
Pd1 Pd 0.668 0.500 0.337
Dy3 Dy 0.500 0.746 0.000
Dy4 Dy 0.832 0.749 0.664
Dy5 Dy 0.832 0.251 0.664
Dy6 Dy 0.500 0.254 0.000
Pd2 Pd 0.339 0.000 0.676
Pd3 Pd 0.332 0.500 0.663
Pd4 Pd 0.661 0.000 0.324
Pd5 Pd 0.000 0.500 0.000
# Formation energy from the elements (eV/atom): -0.7940
# Total moment (Bohr magnetons per cell): 0.0
# Density of states at the Fermi level (states/eV/f.u.): 8.10
# Theoretical density (Mg/m³): 10.01